Below is a geometry-optimized HgAu2F structure, with properties calculated at the PBE level.

a b c (Å): 7.3139 7.3139 5.5014
angles (deg): 90.00 90.00 90.00
Closest atoms and distances in Å follow each position.
Space group I-42d (No. 122)
One atom of each set of equivalent atoms:
Hg (0.0000, 0.0000, 0.0000)  2 F 2.75, 4 Au 2.81
Au (0.2240, 0.2500, 0.6250)  2 F 2.55, 2 Au 2.78, 2 Hg 2.81
F (0.0000, 0.0000, 0.5000)  4 Au 2.55, 2 Hg 2.75

Values from the calculation:
DFT total energy = -2.4420 eV per atom
Mass density = 13.8 g/cm3
Polymorph energy (0 for the lowest one) = 0.000 eV per formula unit
Crystal system = tetragonal
Spin magnetization = 0.0 μB/f.u.
Formation energy (no corrections) = -1.040 eV/f.u.